(1)
This record from Alexandria via LeMat-Bulk describes Rb4La3MnSe8 after structural relaxation. The functional is PBE.

formation energy (no corrections) = -23.7 eV/f.u.
total magnetization = 3.94 μB per formula unit
calculated total energy = -4.963 eV per atom

```
Rb4La3MnSe8
1.0
-0.288 -4.781 7.172
-4.048 -7.030 -4.849
7.754 2.984 -2.885
Se La Mn Rb
8 3 1 4
Direct
0.770 0.680 0.973
0.247 0.715 0.494
0.230 0.320 0.027
0.268 0.295 0.536
0.203 0.680 0.973
0.753 0.285 0.506
0.732 0.705 0.464
0.797 0.320 0.027
0.000 0.500 0.500
0.500 0.500 0.000
0.500 0.500 0.500
0.000 0.500 0.000
0.500 0.000 0.500
0.500 0.000 0.000
0.000 0.000 0.500
0.000 0.000 0.000
```


(2)
This record from Alexandria via LeMat-Bulk describes KSrCa2As after structural relaxation. The functional is PBE.

E_form = -2.10 eV per formula unit
total magnetization = 1.21 μB per formula unit
calculated total energy = -2.707 eV per atom

```
KSrCa2As
1.0
5.889 0.000 0.000
0.000 5.889 0.000
0.000 0.000 6.227
Ca K Sr As
2 1 1 1
Direct
0.000 0.500 0.000
0.500 0.000 0.000
0.500 0.500 0.500
0.000 0.000 0.500
0.000 0.000 0.000
```


(3)
This record from Alexandria via LeMat-Bulk describes NbV4Ru after structural relaxation. The functional is PBE.

energy relative to the lowest polymorph listed for this composition = 0.0000 eV/atom
E_form = -0.10 eV per formula unit
total magnetization = 0.00 μB per formula unit
calculated total energy = -9.320 eV per atom

```
NbV4Ru
1.0
-2.874 2.813 -2.914
-0.019 -0.724 -4.913
-3.989 -1.974 -2.203
Ru V Nb
1 4 1
Direct
0.000 0.000 0.000
0.625 0.625 0.625
0.125 0.625 0.625
0.625 0.625 0.125
0.625 0.125 0.625
0.250 0.250 0.250
```


(4)
This record from Alexandria via LeMat-Bulk describes AcSm4Au5 after structural relaxation. The functional is PBE.

E_form = -7.86 eV per formula unit
total magnetization = 0.00 μB per formula unit
calculated total energy = -4.723 eV per atom

```
AcSm4Au5
1.0
-2.450 -0.385 -2.751
2.770 -0.074 -2.457
1.017 -18.677 1.709
Au Sm Ac
5 4 1
Direct
0.500 0.500 0.500
0.500 0.500 0.696
0.500 0.500 0.115
0.500 0.500 0.885
0.500 0.500 0.304
0.000 0.000 0.793
0.000 0.000 0.207
0.000 0.000 0.402
0.000 0.000 0.598
0.000 0.000 0.000
```


(5)
This record from Alexandria via LeMat-Bulk describes Ga2SnF after structural relaxation. The functional is PBE.

formation energy (no corrections) = -2.2 eV/f.u.
total magnetization = 0.00 μB per formula unit
calculated total energy = -3.532 eV per atom

```
Ga2SnF
1.0
0.000 3.345 3.345
3.345 0.000 3.345
3.345 3.345 0.000
Ga Sn F
2 1 1
Direct
0.250 0.250 0.250
0.750 0.750 0.750
0.500 0.500 0.500
0.000 0.000 0.000
```


(6)
This record from Alexandria via LeMat-Bulk describes Nb3GeMo after structural relaxation. The functional is PBE.

energy relative to the lowest polymorph listed for this composition = 0.0592 eV/atom
E_form = 6.02 eV per formula unit
total magnetization = 0.00 μB per formula unit
calculated total energy = -7.928 eV per atom

```
Nb3GeMo
1.0
-4.562 1.550 0.316
0.166 -0.490 4.801
1.574 4.547 0.409
Nb Mo Ge
3 1 1
Direct
0.000 0.500 0.000
0.000 0.000 0.500
0.500 0.000 0.000
0.000 0.000 0.000
0.500 0.500 0.500
```


(7)
This record from Alexandria via LeMat-Bulk describes AcPr4Nd3 after structural relaxation. The functional is PBE.

energy relative to the lowest polymorph listed for this composition = 0.0225 eV/atom
E_form = 0.32 eV per formula unit
total magnetization = 0.00 μB per formula unit
calculated total energy = -4.652 eV per atom

```
AcPr4Nd3
1.0
-2.908 3.581 -4.583
-6.018 0.814 4.455
4.880 10.048 4.756
Pr Ac Nd
8 2 6
Direct
0.981 0.625 0.000
0.650 0.623 0.248
0.481 0.375 0.500
0.150 0.377 0.252
0.479 0.378 0.000
0.150 0.377 0.748
0.650 0.623 0.752
0.979 0.622 0.500
0.484 0.875 0.500
0.984 0.125 0.000
0.145 0.873 0.749
0.645 0.127 0.249
0.981 0.129 0.500
0.481 0.871 0.000
0.145 0.873 0.251
0.645 0.127 0.751
```


(8)
This record from Alexandria via LeMat-Bulk describes NiMoC after structural relaxation. The functional is PBE.

energy relative to the lowest polymorph listed for this composition = 0.0817 eV/atom
E_form = 0.41 eV per formula unit
total magnetization = 0.00 μB per formula unit
calculated total energy = -8.476 eV per atom

```
NiMoC
1.0
4.457 0.000 -0.005
0.000 2.991 0.000
-3.545 0.000 9.830
C Ni Mo
4 4 4
Direct
0.769 0.000 0.573
0.769 0.500 0.073
0.907 0.000 0.844
0.907 0.500 0.344
0.168 0.500 0.230
0.168 0.000 0.730
0.624 0.000 0.950
0.624 0.500 0.450
0.153 0.500 0.978
0.153 0.000 0.478
0.642 0.500 0.705
0.642 0.000 0.205
```